Record 1
Na3Sm2PbO6: optimized geometry, PBE.

Lattice parameters (Å, degrees): 6.099 6.099 6.026 99.75 99.75 119.94
Fractional positions:
1 Na 0.000 0.000 0.000
2 Na 0.339 0.661 0.000
3 Na 0.661 0.339 0.000
4 Sm 0.167 0.833 0.500
5 Sm 0.833 0.167 0.500
6 Pb 0.500 0.500 0.500
7 O 0.084 0.426 0.278
8 O 0.232 0.232 0.723
9 O 0.426 0.084 0.278
10 O 0.574 0.916 0.722
11 O 0.768 0.768 0.277
12 O 0.916 0.574 0.722

Calculated values
As for the density of states at the Fermi level: 5.00 states/eV per cell. Its space group is No. 12.

Record 2
Na4Sm3PbO8: optimized geometry, PBE.

Lattice parameters (Å, degrees): 6.971 6.971 6.971 60.74 60.74 60.74
Fractional positions:
1 Na 0.000 0.000 0.000
2 Na 0.000 0.500 0.500
3 Na 0.500 0.000 0.500
4 Na 0.500 0.500 0.000
5 Sm 0.000 0.000 0.500
6 Sm 0.000 0.500 0.000
7 Sm 0.500 0.000 0.000
8 Pb 0.500 0.500 0.500
9 O 0.234 0.744 0.744
10 O 0.237 0.237 0.237
11 O 0.256 0.256 0.766
12 O 0.256 0.766 0.256
13 O 0.744 0.234 0.744
14 O 0.744 0.744 0.234
15 O 0.763 0.763 0.763
16 O 0.766 0.256 0.256

Calculated values
As for the density of states at the Fermi level: 1.99 states/eV per cell. Its space group is No. 166.

Record 3
Na2Sm2PbO6: optimized geometry, PBE.

Lattice parameters (Å, degrees): 6.083 6.083 5.936 98.01 98.01 120.47
Fractional positions:
1 Na 0.154 0.846 0.000
2 Na 0.846 0.154 0.000
3 Sm 0.335 0.665 0.500
4 Sm 0.665 0.335 0.500
5 Pb 0.000 0.000 0.500
6 O 0.044 0.378 0.703
7 O 0.245 0.245 0.294
8 O 0.378 0.044 0.703
9 O 0.622 0.956 0.297
10 O 0.755 0.755 0.706
11 O 0.956 0.622 0.297

Calculated values
As for the density of states at the Fermi level: 0.00 states/eV per cell. Its space group is No. 12.

Record 4
Na2SnPb3O6: optimized geometry, PBE.

Lattice parameters (Å, degrees): 6.240 6.240 5.983 98.03 98.03 121.00
Fractional positions:
1 Na 0.178 0.822 0.000
2 Na 0.822 0.178 0.000
3 Sn 0.500 0.500 0.000
4 Pb 0.000 0.000 0.500
5 Pb 0.335 0.665 0.500
6 Pb 0.665 0.335 0.500
7 O 0.153 0.425 0.800
8 O 0.303 0.303 0.264
9 O 0.425 0.153 0.800
10 O 0.575 0.847 0.200
11 O 0.697 0.697 0.736
12 O 0.847 0.575 0.200

Calculated values
Its space group is No. 12.

Record 5
Na2SrPbO4: optimized geometry, PBE.

Lattice parameters (Å, degrees): 6.032 3.496 6.114 90.00 110.75 90.00
Fractional positions:
1 Na 0.000 0.000 0.000
2 Na 0.000 0.500 0.500
3 Sr 0.500 0.000 0.500
4 Pb 0.500 0.500 0.000
5 O 0.269 0.000 0.772
6 O 0.283 0.500 0.217
7 O 0.717 0.500 0.783
8 O 0.731 0.000 0.228

Calculated values
Its space group is No. 10.

Record 6
NaSr2PbO4: optimized geometry, PBE.

Lattice parameters (Å, degrees): 6.052 3.674 6.187 90.00 108.10 90.00
Fractional positions:
1 Na 0.000 0.000 0.000
2 Sr 0.500 0.000 0.500
3 Sr 0.500 0.500 0.000
4 Pb 0.000 0.500 0.500
5 O 0.244 0.000 0.748
6 O 0.250 0.500 0.266
7 O 0.750 0.500 0.734
8 O 0.756 0.000 0.252

Calculated values
As for the density of states at the Fermi level: 3.81 states/eV per cell. Its space group is No. 10.

Record 7
NaSr2PbO: optimized geometry, PBE.

Lattice parameters (Å, degrees): 5.134 5.134 5.028 90.00 90.00 90.00
Fractional positions:
1 Na 0.000 0.000 0.000
2 Sr 0.000 0.500 0.500
3 Sr 0.500 0.000 0.500
4 Pb 0.500 0.500 0.000
5 O 0.000 0.000 0.500

Calculated values
As for the density of states at the Fermi level: 4.20 states/eV per cell. Its space group is No. 123.

Record 8
NaSrPbO3: optimized geometry, PBE.

Lattice parameters (Å, degrees): 6.509 3.536 10.258 90.00 97.57 90.00
Fractional positions:
1 Na 0.103 0.250 0.307
2 Na 0.897 0.750 0.693
3 Sr 0.407 0.750 0.632
4 Sr 0.593 0.250 0.368
5 Pb 0.223 0.250 0.952
6 Pb 0.777 0.750 0.048
7 O 0.142 0.750 0.069
8 O 0.191 0.250 0.741
9 O 0.339 0.750 0.397
10 O 0.661 0.250 0.603
11 O 0.809 0.750 0.259
12 O 0.858 0.250 0.931

Calculated values
As for the density of states at the Fermi level: 8.54 states/eV per cell. Its space group is No. 11.

V across the listed records, respectively: 15.23 15.22 16.52 15.96 15.07 16.34 26.51 19.50 Å³/atom.
Raw formation energy across the listed records, respectively: -207.4 -220.8 -208.0 -125.2 -157.1 -184.4 -118.9 -142.0 kJ per mole of atoms.
Size of the total moment across the listed records, respectively: 0.051 0.000 0.000 0.000 0.000 0.001 0.000 0.028 μB/atom.